1) The following is a DFT calculation (PBE-GGA) of a geometry-optimized LiScAs2 structure.

The space group is Fm-3m.

Unit cell a=6.6540 b=6.6540 c=6.6540 alpha=90.00 beta=90.00 gamma=90.00
Element x y z (fractional)
Li 0.0000 0.0000 0.0000
Li 0.0000 0.5000 0.5000
Li 0.5000 0.0000 0.5000
Li 0.5000 0.5000 0.0000
Sc 0.0000 0.0000 0.5000
Sc 0.0000 0.5000 0.0000
Sc 0.5000 0.0000 0.0000
Sc 0.5000 0.5000 0.5000
As 0.2500 0.2500 0.2500
As 0.2500 0.2500 0.7500
As 0.2500 0.7500 0.2500
As 0.2500 0.7500 0.7500
As 0.7500 0.2500 0.2500
As 0.7500 0.2500 0.7500
As 0.7500 0.7500 0.2500
As 0.7500 0.7500 0.7500



2) The following is a DFT calculation (PBE-GGA) of a geometry-optimized LiScAs2 structure.

The space group is Pmmm.

Unit cell a=3.7352 b=4.3550 c=4.3846 alpha=90.00 beta=90.00 gamma=90.00
Element x y z (fractional)
Li 0.0000 0.0000 0.0000
Sc 0.0000 0.5000 0.5000
As 0.5000 0.0000 0.5000
As 0.5000 0.5000 0.0000



3) The following is a DFT calculation (PBE-GGA) of a geometry-optimized LiScAs2 structure.

The space group is F-43m.

Unit cell a=6.6358 b=6.6358 c=6.6358 alpha=90.00 beta=90.00 gamma=90.00
Element x y z (fractional)
Li 0.0000 0.0000 0.0000
Li 0.0000 0.5000 0.5000
Li 0.5000 0.0000 0.5000
Li 0.5000 0.5000 0.0000
Sc 0.2500 0.2500 0.2500
Sc 0.2500 0.7500 0.7500
Sc 0.7500 0.2500 0.7500
Sc 0.7500 0.7500 0.2500
As 0.0000 0.0000 0.5000
As 0.0000 0.5000 0.0000
As 0.2500 0.2500 0.7500
As 0.2500 0.7500 0.2500
As 0.5000 0.0000 0.0000
As 0.5000 0.5000 0.5000
As 0.7500 0.2500 0.2500
As 0.7500 0.7500 0.7500



It is 2) that is the most stable of them.



1) The following is a DFT calculation (PBE-GGA) of a geometry-optimized LiScAs2 structure.

The space group is I-4m2.

Unit cell a=3.8498 b=3.8498 c=9.5434 alpha=90.00 beta=90.00 gamma=90.00
Element x y z (fractional)
Li 0.0000 0.0000 0.0000
Li 0.5000 0.5000 0.5000
Sc 0.0000 0.5000 0.2500
Sc 0.5000 0.0000 0.7500
As 0.0000 0.0000 0.5000
As 0.0000 0.5000 0.7500
As 0.5000 0.0000 0.2500
As 0.5000 0.5000 0.0000



2) The following is a DFT calculation (PBE-GGA) of a geometry-optimized LiScAs2 structure.

The space group is Cm.

Unit cell a=10.0573 b=3.8328 c=4.0661 alpha=90.00 beta=106.44 gamma=90.00
Element x y z (fractional)
Li 0.0000 0.0000 0.0000
Li 0.5000 0.5000 0.0000
Sc 0.2543 0.5000 0.3863
Sc 0.7543 0.0000 0.3863
As 0.2467 0.0000 0.9003
As 0.4677 0.0000 0.4144
As 0.7467 0.5000 0.9003
As 0.9677 0.5000 0.4144



It is 2) that is the most stable of them.



1) The following is a DFT calculation (PBE-GGA) of a geometry-optimized Li3ScAs structure.

The space group is Pm-3m.

Unit cell a=5.0221 b=5.0221 c=5.0221 alpha=90.00 beta=90.00 gamma=90.00
Element x y z (fractional)
Li 0.0000 0.0000 0.5000
Li 0.0000 0.5000 0.0000
Li 0.5000 0.0000 0.0000
Sc 0.0000 0.0000 0.0000
As 0.5000 0.5000 0.5000



2) The following is a DFT calculation (PBE-GGA) of a geometry-optimized Li3ScAs structure.

The space group is Pm-3m.

Unit cell a=4.6847 b=4.6847 c=4.6847 alpha=90.00 beta=90.00 gamma=90.00
Element x y z (fractional)
Li 0.0000 0.0000 0.5000
Li 0.0000 0.5000 0.0000
Li 0.5000 0.0000 0.0000
Sc 0.5000 0.5000 0.5000
As 0.0000 0.0000 0.0000



It is 2) that is the most stable of them.